# 1
Mn4MoPd | GGA-PBE | optimized geometry

Geometry as extended XYZ:
```
6
Lattice="4.719 0.000 0.000 2.360 4.087 0.000 2.360 1.362 3.853" Properties=species:S:1:pos:R:3 pbc="T T T"
Mn 3.527 3.414 2.414
Mn 4.719 1.347 2.414
Mn 5.912 3.414 2.414
Mn 4.719 2.725 0.466
Pd 0.000 0.000 0.000
Mo 2.360 1.362 0.963
```

VASP energy = -0.64302 Ry per atom
Space group = F-43m, No. 216


# 2
MnMo2Pd | GGA-PBE | optimized geometry

Geometry as extended XYZ:
```
8
Lattice="3.673 0.000 0.000 0.000 3.673 0.000 1.837 1.837 9.693" Properties=species:S:1:pos:R:3 pbc="T T T"
Mn 1.837 1.837 0.000
Mn 1.837 3.673 4.846
Mo 2.755 2.809 7.269
Mo 4.592 4.538 7.269
Mo 0.972 2.755 2.423
Mo 2.701 0.918 2.423
Pd 0.000 0.000 0.000
Pd 3.673 1.837 4.846
```

Distance to the lowest polymorph of the same formula = 0.123 eV/atom
VASP energy = -0.62360 Ry per atom
Space group = I-42d, No. 122


# 3
MnMo2Pd | GGA-PBE | optimized geometry

Geometry as extended XYZ:
```
4
Lattice="-3.490 -2.606 0.248 -3.794 1.264 -1.743 -1.514 -1.965 -3.589" Properties=species:S:1:pos:R:3 pbc="T T T"
Pd -4.399 -1.653 -2.542
Mo -6.599 -2.480 -3.813
Mo -2.200 -0.827 -1.271
Mn 0.000 0.000 0.000
```

Distance to the lowest polymorph of the same formula = 0.000 eV/atom
VASP energy = -0.63265 Ry per atom
Space group = Fm-3m, No. 225


# 4
MnMoPd3 | GGA-PBE | optimized geometry

Geometry as extended XYZ:
```
5
Lattice="4.473 0.000 0.000 0.000 4.473 0.000 0.000 0.000 4.473" Properties=species:S:1:pos:R:3 pbc="T T T"
Mn 0.000 0.000 0.000
Pd 0.000 0.000 2.237
Pd 2.237 0.000 0.000
Pd 0.000 2.237 0.000
Mo 2.237 2.237 2.237
```

Distance to the lowest polymorph of the same formula = 0.000 eV/atom
VASP energy = -0.41955 Ry per atom
Space group = Pm-3m, No. 221


# 5
Mn2MoPd9 | GGA-PBE | optimized geometry

Geometry as extended XYZ:
```
12
Lattice="-0.058 3.920 -0.221 -3.646 -0.136 -1.450 -4.377 0.554 10.954" Properties=species:S:1:pos:R:3 pbc="T T T"
Pd -4.012 0.209 4.752
Pd -1.852 1.892 -0.836
Pd -4.780 2.262 6.491
Pd -2.535 0.022 1.057
Pd -5.488 0.396 8.448
Pd -0.741 2.050 1.671
Pd -2.218 2.237 5.366
Pd -3.694 2.424 9.062
Pd -3.302 2.075 2.792
Mo 0.000 0.000 0.000
Mn -2.893 0.366 7.240
Mn -1.484 0.188 3.715
```

VASP energy = -0.47805 Ry per atom
Space group = P4/mmm, No. 123


# 6
Mn2MoPd | GGA-PBE | optimized geometry

Geometry as extended XYZ:
```
8
Lattice="3.711 0.000 0.000 0.000 3.711 0.000 1.856 1.856 8.625" Properties=species:S:1:pos:R:3 pbc="T T T"
Mo 1.856 3.711 4.313
Mo 1.856 1.856 0.000
Mn 2.784 3.057 6.469
Mn 1.201 2.784 2.156
Mn 4.639 4.366 6.469
Mn 2.511 0.928 2.156
Pd 0.000 0.000 0.000
Pd 3.711 1.856 4.313
```

VASP energy = -0.57576 Ry per atom
Space group = I-42d, No. 122


# 7
Mn2Mo2Pd | GGA-PBE | optimized geometry

Geometry as extended XYZ:
```
10
Lattice="-4.107 2.357 -5.100 4.568 -2.278 -4.732 -1.357 -2.546 -0.084" Properties=species:S:1:pos:R:3 pbc="T T T"
Pd 0.230 0.040 -4.916
Pd 0.000 0.000 0.000
Mn 1.108 -0.510 -2.416
Mn -0.647 0.590 -7.416
Mn -1.991 1.189 -3.883
Mn 2.452 -1.110 -5.948
Mo -2.577 -0.068 -5.904
Mo -1.317 -0.851 -2.532
Mo 0.421 -1.617 -7.384
Mo 1.680 -2.399 -4.011
```

VASP energy = -0.65294 Ry per atom
Space group = P4/mbm, No. 127


# 8
MnMoPd | GGA-PBE | optimized geometry

Geometry as extended XYZ:
```
6
Lattice="-0.229 -0.935 -3.704 1.749 -0.515 1.999 -5.880 -9.367 2.728" Properties=species:S:1:pos:R:3 pbc="T T T"
Mo -0.641 -3.099 -1.155
Mo -3.719 -7.718 2.178
Pd -1.567 -4.290 1.180
Pd -2.792 -6.527 -0.157
Mn -4.827 -9.769 0.787
Mn 0.467 -1.049 0.236
```

Distance to the lowest polymorph of the same formula = 0.000 eV/atom
VASP energy = -0.61764 Ry per atom
Space group = P4/nmm, No. 129


# 9
TiMnMoPd | GGA-PBE | optimized geometry

Geometry as extended XYZ:
```
4
Lattice="4.380 0.000 0.000 2.190 3.793 0.000 2.190 1.264 3.577" Properties=species:S:1:pos:R:3 pbc="T T T"
Ti 2.190 1.264 0.894
Mo 0.000 0.000 0.000
Mn 6.570 3.793 2.682
Pd 4.380 2.529 1.788
```

VASP energy = -0.61787 Ry per atom
Space group = F-43m, No. 216


# 10
MnMoPt2 | GGA-PBE | optimized geometry

Geometry as extended XYZ:
```
4
Lattice="4.470 0.000 0.000 0.000 2.765 -0.005 0.000 0.009 4.861" Properties=species:S:1:pos:R:3 pbc="T T T"
Mn 0.000 1.732 2.225
Mo 2.235 1.734 3.842
Pt 0.000 0.354 4.631
Pt 2.235 0.348 1.447
```

Distance to the lowest polymorph of the same formula = 0.064 eV/atom
VASP energy = -0.60907 Ry per atom
Space group = Pmm2, No. 25


# 11
MnMoPt2 | GGA-PBE | optimized geometry

Geometry as extended XYZ:
```
4
Lattice="-0.396 2.429 1.299 0.772 -1.729 3.468 5.300 1.181 -0.591" Properties=species:S:1:pos:R:3 pbc="T T T"
Pt 0.002 0.000 0.000
Pt 2.648 0.590 -0.295
Mo 4.163 1.235 1.941
Mn 1.513 0.645 2.236
```

Distance to the lowest polymorph of the same formula = 0.020 eV/atom
VASP energy = -0.61230 Ry per atom
Space group = Pmmm, No. 47


# 12
MnMoPt4 | GGA-PBE | optimized geometry

Geometry as extended XYZ:
```
6
Lattice="0.000 3.689 3.689 3.689 0.000 3.689 3.689 3.689 0.000" Properties=species:S:1:pos:R:3 pbc="T T T"
Pt 2.766 4.612 2.766
Pt 4.612 4.612 4.612
Pt 2.766 2.766 4.612
Pt 4.612 2.766 2.766
Mn 1.845 1.845 1.845
Mo 0.000 0.000 0.000
```

VASP energy = -0.53451 Ry per atom
Space group = F-43m, No. 216


no.,D(E_F) (states/eV/cell)
1,8.2
2,6.6
3,10.8
4,14.6
5,8.3
6,10.6
7,9.7
8,6.4
9,4.8
10,4.2
11,3.1
12,6.5